## Na2Re2Tc (PBE)

Data for a relaxed Na2Re2Tc crystal.

Cell and atoms, written as POSCAR:
```
Na2Re2Tc
1.0
-2.4226 1.6421 -1.7391
-2.2361 -2.4334 0.8174
-4.2618 3.5289 5.9365
Re Tc Na
2 1 2
direct
0.4224 0.4224 0.1553
0.5776 0.5776 0.8447
0.0000 0.0000 0.0000
0.7500 0.2500 0.5000
0.2500 0.7500 0.5000
```

Calculated values
Space group = I4/mmm
Electronic total energy = -31.88 eV for the cell shown
Excess energy over the best structure of this formula in the dataset = 313.8 meV/atom
Density of states at the Fermi level = 2.803 states/eV per cell
Magnetization = 0.000 μB per atom
Calculated formation energy = 1.20 eV/atom


## Dy2OsI (PBE)

Data for a relaxed Dy2OsI crystal.

Cell and atoms, written as POSCAR:
```
Dy2OsI
1.0
4.0887 0.0000 0.0000
2.0443 3.5409 0.0000
2.0443 1.1803 7.8771
I Os Dy
1 1 2
direct
0.5000 0.5000 0.5000
0.0000 0.0000 0.0000
0.7274 0.7274 0.8178
0.2726 0.2726 0.1822
```

Calculated values
Space group = R-3m
Electronic total energy = -23.90 eV for the cell shown
Raw formation energy = -479 meV per atom
Density of states at the Fermi level = 2.817 states/eV per cell
Magnetization = 0.000 μB per atom


## LiTbPaN3 (PBE)

Data for a relaxed LiTbPaN3 crystal.

Cell and atoms, written as POSCAR:
```
LiTbPaN3
1.0
3.3309 0.0000 0.0000
0.0000 7.2963 0.7588
0.0000 -1.9922 6.4956
Li Tb Pa N
2 2 2 6
direct
0.2500 0.0829 0.5901
0.7500 0.9171 0.4099
0.2500 0.6517 0.1921
0.7500 0.3483 0.8079
0.7500 0.8182 0.7877
0.2500 0.1818 0.2123
0.2500 0.8159 0.5428
0.7500 0.8782 0.1187
0.7500 0.4055 0.1623
0.7500 0.1841 0.4572
0.2500 0.5945 0.8377
0.2500 0.1218 0.8813
```

Calculated values
Space group = P2_1/m
Electronic total energy = -97.11 eV for the cell shown
Raw formation energy = -1257 meV per atom
Magnetization = 0.000 μB per atom


## Pm2AlNi4As3 (PBE)

Data for a relaxed Pm2AlNi4As3 crystal.

Cell and atoms, written as POSCAR:
```
Pm2AlNi4As3
1.0
-0.6135 -1.5541 3.7014
0.8657 -3.7074 -1.4132
9.6476 1.4165 2.1939
Pm Al Ni As
2 1 4 3
direct
0.5000 0.0000 0.2422
0.0000 0.5000 0.7578
0.5000 0.5000 0.5000
0.5000 0.5000 0.0000
0.0000 0.0000 0.0000
0.5000 0.0000 0.6306
0.0000 0.5000 0.3694
0.0000 0.0000 0.5000
0.5000 0.0000 0.8680
0.0000 0.5000 0.1320
```

Calculated values
Space group = P-4m2
Electronic total energy = -58.60 eV for the cell shown
Density of states at the Fermi level = 4.158 states/eV per cell
Magnetization = 0.000 μB per atom
Calculated formation energy = -0.83 eV/atom


## Sr2CdCu9 (PBE)

Data for a relaxed Sr2CdCu9 crystal.

Cell and atoms, written as POSCAR:
```
Sr2CdCu9
1.0
5.2080 0.0000 0.0000
2.6040 4.5102 0.0000
2.6040 1.5034 8.5357
Sr Cd Cu
2 1 9
direct
0.8646 0.8646 0.4061
0.1354 0.1354 0.5939
0.0000 0.0000 0.0000
0.6679 0.6679 0.9963
0.3321 0.3321 0.0037
0.5000 0.5000 0.5000
0.4237 0.4237 0.2329
0.9197 0.4237 0.2329
0.4237 0.9197 0.2329
0.5763 0.5763 0.7671
0.5763 0.0803 0.7671
0.0803 0.5763 0.7671
```

Calculated values
Space group = R-3m
Electronic total energy = -40.57 eV for the cell shown
Density of states at the Fermi level = 6.748 states/eV per cell
Magnetization = 0.000 μB per atom
Calculated formation energy = 0.05 eV/atom


## BaAsHSe2 (PBE)

Data for a relaxed BaAsHSe2 crystal.

Cell and atoms, written as POSCAR:
```
BaAsHSe2
1.0
6.3659 0.0000 0.0000
0.0000 6.3659 0.0000
0.0000 0.0000 7.1522
H As Ba Se
1 1 1 2
direct
0.5000 0.5000 0.5000
0.0000 0.0000 0.5000
0.0000 0.0000 0.0000
0.0000 0.5000 0.0000
0.5000 0.0000 0.0000
```

Calculated values
Space group = P4/mmm
Electronic total energy = -12.67 eV for the cell shown
Excess energy over the best structure of this formula in the dataset = 1167.9 meV/atom
Density of states at the Fermi level = 6.662 states/eV per cell
Magnetization = 1.205 μB per atom


## NpHg3Br2O6 (PBE)

Data for a relaxed NpHg3Br2O6 crystal.

Cell and atoms, written as POSCAR:
```
NpHg3Br2O6
1.0
-2.1034 1.6721 -5.1285
-4.7691 -4.8053 0.3892
-1.9613 6.9826 3.1004
Np Hg Br O
1 3 2 6
direct
0.5000 0.0000 0.0000
0.0000 0.5000 0.0000
0.5000 0.5000 0.5000
0.5000 0.0000 0.5000
0.0040 0.6771 0.3543
0.9960 0.3229 0.6457
0.7257 0.1985 0.0029
0.2743 0.8015 0.9971
0.5048 0.8307 0.6613
0.4952 0.1693 0.3387
0.2743 0.1956 0.9971
0.7257 0.8044 0.0029
```

Calculated values
Space group = C2/m
Electronic total energy = -59.45 eV for the cell shown
Raw formation energy = -1042 meV per atom
Density of states at the Fermi level = 7.961 states/eV per cell
Magnetization = 0.087 μB per atom


## AlReP2Cl (PBE)

Data for a relaxed AlReP2Cl crystal.

Cell and atoms, written as POSCAR:
```
AlReP2Cl
1.0
-4.1376 -0.9365 -2.0506
2.0386 -3.3838 -2.5681
-0.9020 -2.9455 3.1652
Re Al P Cl
1 1 2 1
direct
0.5000 0.5000 0.5000
0.0000 0.0000 0.0000
0.0000 0.5000 0.0000
0.5000 0.0000 0.0000
0.0000 0.0000 0.5000
```

Calculated values
Space group = P4/mmm
Electronic total energy = -23.38 eV for the cell shown
Raw formation energy = 1096 meV per atom
Excess energy over the best structure of this formula in the dataset = 683.8 meV/atom
Density of states at the Fermi level = 1.570 states/eV per cell
Magnetization = 0.650 μB per atom


## RbSr2B (PBE)

Data for a relaxed RbSr2B crystal.

Cell and atoms, written as POSCAR:
```
RbSr2B
1.0
-6.3114 -6.0183 -0.2601
5.5854 -5.7054 -3.5176
1.2346 -7.7813 3.7611
Sr B Rb
4 2 2
direct
0.3859 0.1250 0.2500
0.3641 0.6250 0.2500
0.3750 0.6141 0.7500
0.8750 0.6359 0.7500
0.5000 0.5000 0.0000
0.2500 0.7500 0.5000
0.0000 0.0000 0.0000
0.7500 0.2500 0.5000
```

Calculated values
Space group = I-42d
Electronic total energy = -16.89 eV for the cell shown
Density of states at the Fermi level = 7.308 states/eV per cell
Magnetization = 0.255 μB per atom
Calculated formation energy = 0.64 eV/atom


## CaHg2H2 (PBE)

Data for a relaxed CaHg2H2 crystal.

Cell and atoms, written as POSCAR:
```
CaHg2H2
1.0
6.1202 0.0000 0.0000
0.0000 6.1202 0.0000
0.0000 0.0000 4.7136
H Ca Hg
4 2 4
direct
0.1802 0.6802 0.0000
0.6802 0.8198 0.0000
0.8198 0.3198 0.0000
0.3198 0.1802 0.0000
0.0000 0.0000 0.0000
0.5000 0.5000 0.0000
0.1796 0.6796 0.5000
0.6796 0.8204 0.5000
0.8204 0.3204 0.5000
0.3204 0.1796 0.5000
```

Calculated values
Space group = P4/mbm
Electronic total energy = -19.92 eV for the cell shown
Excess energy over the best structure of this formula in the dataset = 0.0 meV/atom
Density of states at the Fermi level = 2.170 states/eV per cell
Magnetization = 0.000 μB per atom


## Pu5PaSn6 (PBE)

Data for a relaxed Pu5PaSn6 crystal.

Cell and atoms, written as POSCAR:
```
Pu5PaSn6
1.0
-0.3736 5.7131 0.5647
-6.3530 -0.5344 1.2026
1.6389 -1.2894 8.0848
Pa Sn Pu
1 6 5
direct
0.0000 0.0000 0.0000
0.8353 0.7508 0.6651
0.8353 0.2492 0.6651
0.5000 0.2522 0.0000
0.5000 0.7478 0.0000
0.1647 0.7508 0.3349
0.1647 0.2492 0.3349
0.6623 0.5000 0.3388
0.3351 0.0000 0.6677
0.0000 0.5000 0.0000
0.6649 0.0000 0.3323
0.3377 0.5000 0.6612
```

Calculated values
Space group = P2/m
Electronic total energy = -109.14 eV for the cell shown
Density of states at the Fermi level = 39.745 states/eV per cell
Magnetization = 1.382 μB per atom
Calculated formation energy = -0.33 eV/atom


## IrW (PBE)

Data for a relaxed IrW crystal.

Cell and atoms, written as POSCAR:
```
IrW
1.0
3.1547 0.0000 0.0000
0.0000 3.1547 0.0000
0.0000 0.0000 3.1547
Ir W
1 1
direct
0.0000 0.0000 0.0000
0.5000 0.5000 0.5000
```

Calculated values
Space group = Pm-3m
Electronic total energy = -21.03 eV for the cell shown
Excess energy over the best structure of this formula in the dataset = 694.0 meV/atom
Density of states at the Fermi level = 3.877 states/eV per cell
Magnetization = 0.000 μB per atom
Calculated formation energy = 0.39 eV/atom


Repeat the ninth record exactly.
## RbSr2B (PBE)

Data for a relaxed RbSr2B crystal.

Cell and atoms, written as POSCAR:
```
RbSr2B
1.0
-6.3114 -6.0183 -0.2601
5.5854 -5.7054 -3.5176
1.2346 -7.7813 3.7611
Sr B Rb
4 2 2
direct
0.3859 0.1250 0.2500
0.3641 0.6250 0.2500
0.3750 0.6141 0.7500
0.8750 0.6359 0.7500
0.5000 0.5000 0.0000
0.2500 0.7500 0.5000
0.0000 0.0000 0.0000
0.7500 0.2500 0.5000
```

Calculated values
Space group = I-42d
Electronic total energy = -16.89 eV for the cell shown
Density of states at the Fermi level = 7.308 states/eV per cell
Magnetization = 0.255 μB per atom
Calculated formation energy = 0.64 eV/atom


Repeat the third record exactly.
## LiTbPaN3 (PBE)

Data for a relaxed LiTbPaN3 crystal.

Cell and atoms, written as POSCAR:
```
LiTbPaN3
1.0
3.3309 0.0000 0.0000
0.0000 7.2963 0.7588
0.0000 -1.9922 6.4956
Li Tb Pa N
2 2 2 6
direct
0.2500 0.0829 0.5901
0.7500 0.9171 0.4099
0.2500 0.6517 0.1921
0.7500 0.3483 0.8079
0.7500 0.8182 0.7877
0.2500 0.1818 0.2123
0.2500 0.8159 0.5428
0.7500 0.8782 0.1187
0.7500 0.4055 0.1623
0.7500 0.1841 0.4572
0.2500 0.5945 0.8377
0.2500 0.1218 0.8813
```

Calculated values
Space group = P2_1/m
Electronic total energy = -97.11 eV for the cell shown
Raw formation energy = -1257 meV per atom
Magnetization = 0.000 μB per atom


What is the formula in the twelfth record?
IrW